K2BaZrNi: optimized geometry, PBE.

Lattice parameters (Å, degrees): 6.709 6.709 4.674 90.00 90.00 90.00
Space group P4/mmm (No. 123)
Symmetry-distinct sites (fractional):
K 0.000 0.500 0.000 x2
Ba 0.000 0.000 0.500 x1
Zr 0.500 0.500 0.000 x1
Ni 0.500 0.500 0.500 x1

Output
* calculated formation energy: 857.3 meV per atom


K2BaNpO5: optimized geometry, PBE.

Lattice parameters (Å, degrees): 4.290 6.126 12.886 90.00 90.00 90.00
Space group Immm (No. 71)
Symmetry-distinct sites (fractional):
K 0.000 0.000 0.221 x4
Ba 0.000 0.500 0.000 x2
Np 0.000 0.500 0.500 x2
O 0.000 0.000 0.000 x2
O 0.000 0.261 0.390 x8

Output
* formation energy without anion corrections: -2.510 eV per atom


KBaNpO6: optimized geometry, PBE.

Lattice parameters (Å, degrees): 6.2770 6.2770 5.1578 90.00 90.00 120.00
Space group P312 (No. 149)
Symmetry-distinct sites (fractional):
K 0.0000 0.0000 0.0000 x1
Ba 0.6667 0.3333 0.5000 x1
Np 0.3333 0.6667 0.0000 x1
O 0.0692 0.4120 0.2124 x6

Output
* formation energy without anion corrections: -2.058 eV per atom


KBaNp2O8: optimized geometry, PBE.

Lattice parameters (Å, degrees): 5.859 5.859 10.851 90.00 90.00 90.00
Space group I-4 (No. 82)
Symmetry-distinct sites (fractional):
K 0.000 0.000 0.000 x2
Ba 0.000 0.500 0.250 x2
Np 0.000 0.000 0.500 x2
Np 0.000 0.500 0.750 x2
O 0.198 0.287 0.651 x8
O 0.203 0.792 0.598 x8

Output
* formation energy without anion corrections: -2.402 eV per atom


K3Ba2NpO6: optimized geometry, PBE.

Lattice parameters (Å, degrees): 6.614 11.513 6.655 90.00 109.46 90.00
Space group C2/m (No. 12)
Symmetry-distinct sites (fractional):
K 0.000 0.000 0.000 x2
K 0.000 0.345 0.000 x4
Ba 0.000 0.168 0.500 x4
Np 0.000 0.500 0.500 x2
O 0.202 0.363 0.697 x8
O 0.211 0.500 0.309 x4

Output
* formation energy without anion corrections: -2.326 eV per atom


KBa4Np3O12: optimized geometry, PBE.

Lattice parameters (Å, degrees): 8.906 8.906 8.906 90.00 90.00 90.00
Space group Im-3m (No. 229)
Symmetry-distinct sites (fractional):
K 0.000 0.000 0.000 x2
Ba 0.250 0.250 0.250 x8
Np 0.000 0.000 0.500 x6
O 0.000 0.000 0.278 x12
O 0.000 0.250 0.500 x12

Output
* formation energy without anion corrections: -2.855 eV per atom


K2BaNp2O7: optimized geometry, PBE.

Lattice parameters (Å, degrees): 4.424 4.424 21.855 90.00 90.00 90.00
Space group I4/mmm (No. 139)
Symmetry-distinct sites (fractional):
K 0.000 0.500 0.250 x4
Ba 0.000 0.000 0.000 x2
Np 0.000 0.000 0.401 x4
O 0.000 0.000 0.309 x4
O 0.000 0.000 0.500 x2
O 0.000 0.500 0.091 x8

Output
* formation energy without anion corrections: -2.633 eV per atom


KBaNpO4: optimized geometry, PBE.

Lattice parameters (Å, degrees): 4.401 4.401 13.356 90.00 90.00 90.00
Space group I4mm (No. 107)
Symmetry-distinct sites (fractional):
K 0.000 0.000 0.000 x2
Ba 0.000 0.000 0.295 x2
Np 0.000 0.000 0.644 x2
O 0.000 0.000 0.493 x2
O 0.000 0.000 0.799 x2
O 0.000 0.500 0.154 x4

Output
* formation energy without anion corrections: -2.709 eV per atom


K4BaNp3O12: optimized geometry, PBE.

Lattice parameters (Å, degrees): 8.855 8.855 8.855 90.00 90.00 90.00
Space group Im-3m (No. 229)
Symmetry-distinct sites (fractional):
K 0.250 0.250 0.250 x8
Ba 0.000 0.000 0.000 x2
Np 0.000 0.000 0.500 x6
O 0.000 0.000 0.285 x12
O 0.000 0.250 0.500 x12

Output
* formation energy without anion corrections: -2.596 eV per atom


KBa2Np3S8: optimized geometry, PBE.

Lattice parameters (Å, degrees): 8.3538 8.3538 22.2094 90.00 90.00 120.00
Space group R3m (No. 160, hexagonal axes)
Symmetry-distinct sites (fractional):
K 0.0000 0.0000 0.0000 x3
Ba 0.0000 0.0000 0.3695 x3
Ba 0.0000 0.0000 0.7450 x3
Np 0.0033 0.5017 0.8716 x9
S 0.0000 0.0000 0.1416 x3
S 0.0000 0.0000 0.6024 x3
S 0.0363 0.5182 0.1386 x9
S 0.1839 0.3678 0.9350 x9

Output
* formation energy without anion corrections: -1.514 eV per atom


KBa2NpS6: optimized geometry, PBE.

Lattice parameters (Å, degrees): 7.281 7.917 12.520 90.00 123.69 90.00
Space group P2_1/c (No. 14)
Symmetry-distinct sites (fractional):
K 0.000 0.000 0.000 x2
Ba 0.214 0.077 0.742 x4
Np 0.500 0.000 0.500 x2
S 0.174 0.169 0.453 x4
S 0.272 0.734 0.428 x4
S 0.397 0.051 0.277 x4

Output
* formation energy without anion corrections: -1.399 eV per atom


K2BaNpS4: optimized geometry, PBE.

Lattice parameters (Å, degrees): 7.639 4.271 7.764 90.00 108.90 90.00
Space group P2/m (No. 10)
Symmetry-distinct sites (fractional):
K 0.000 0.000 0.000 x1
K 0.500 0.500 0.000 x1
Ba 0.000 0.500 0.500 x1
Np 0.500 0.000 0.500 x1
S 0.283 0.000 0.709 x2
S 0.295 0.500 0.299 x2

Output
* formation energy without anion corrections: -1.494 eV per atom


Number 1: magnetization 1.084 Bohr magnetons per cell. Number 2: magnetization 2.000 Bohr magnetons per cell. Number 3: magnetization 2.062 Bohr magnetons per cell. Number 4: magnetization 2.031 Bohr magnetons per cell. Number 5: magnetization 4.000 Bohr magnetons per cell. Number 6: magnetization 12.000 Bohr magnetons per cell. Number 7: magnetization 8.000 Bohr magnetons per cell. Number 8: magnetization 4.000 Bohr magnetons per cell. Number 9: magnetization 6.000 Bohr magnetons per cell. Number 10: magnetization 30.000 Bohr magnetons per cell. Number 11: magnetization 0.071 Bohr magnetons per cell. Number 12: magnetization 3.000 Bohr magnetons per cell.